A geometry-optimized Ce2HS3 structure, computed with GGA-PBE.

Properties
* E: -0.2313 Ha/atom

abc: 10.7289 3.9146 10.9038
angles: 90.00 90.00 90.00
Last column: nearest neighbours and their distance in Å.
Space group Pnma (No. 62)
Inequivalent atoms, fractional coordinates:
Ce 0.0277 0.2500 0.1808  2 H 2.28
Ce 0.1951 0.2500 0.5174  1 H 2.29
H 0.1234 0.7500 0.1280  3 Ce 2.28-2.29
S 0.0547 0.7500 0.3760  1 H 2.80, 5 Ce 2.91-2.92
S 0.1246 0.2500 0.9415  3 H 2.77-2.82, 5 Ce 2.81-2.88
S 0.2112 0.7500 0.7020  2 H 2.76, 4 Ce 2.81-2.86